Entry from Alexandria via LeMat-Bulk: a relaxed CsNpInTe3 crystal (PBE-GGA).

Cell: 10.510 4.412 11.151 Å, 90.00 107.30 90.00°
Space group P2_1/m (No. 11)
One atom of each set of equivalent atoms:
Cs1 0.195 0.250 0.239 x2
Np1 0.352 0.750 0.844 x2
In1 0.111 0.250 0.560 x2
Te1 0.138 0.250 0.832 x2
Te2 0.311 0.750 0.561 x2
Te3 0.438 0.750 0.134 x2

Properties
As for the density of states at the Fermi level: 19.2 states/eV/cell. The total energy comes out at -60.31 eV/cell. As for the formation energy (no corrections): -0.70 eV/atom. The magnetic moment is 3.52 μB/f.u.

---

Entry from Alexandria via LeMat-Bulk: a relaxed Cs3InO crystal (PBE-GGA).

Cell: 6.068 6.068 6.068 Å, 90.00 90.00 90.00°
Space group Pm-3m (No. 221)
One atom of each set of equivalent atoms:
Cs1 0.000 0.000 0.500 x3
In1 0.500 0.500 0.500 x1
O1 0.000 0.000 0.000 x1

Properties
As for the density of states at the Fermi level: 7.7 states/eV/cell. The value obtained for the energy above the lowest structure with this stoichiometry is 0.234 eV/atom. The total energy comes out at -12.12 eV/cell. As for the formation energy (no corrections): -0.37 eV/atom. The magnetic moment is 2.21 μB/f.u.

---

Entry from Alexandria via LeMat-Bulk: a relaxed Cs3InO crystal (PBE-GGA).

Cell: 9.159 11.106 9.033 Å, 90.00 90.00 90.00°
Space group Cmcm (No. 63)
One atom of each set of equivalent atoms:
Cs1 0.000 0.225 0.250 x4
Cs2 0.229 0.000 0.000 x8
In1 0.000 0.220 0.750 x4
O1 0.000 0.027 0.750 x4

Properties
As for the density of states at the Fermi level: 11.0 states/eV/cell. The value obtained for the energy above the lowest structure with this stoichiometry is 0.000 eV/atom. The total energy comes out at -53.15 eV/cell. As for the formation energy (no corrections): -0.61 eV/atom. The magnetic moment is 0.00 μB/f.u.

---

Entry from Alexandria via LeMat-Bulk: a relaxed Cs2InO crystal (PBE-GGA).

Cell: 12.887 12.887 4.593 Å, 90.00 90.00 90.00°
Space group I-42d (No. 122)
One atom of each set of equivalent atoms:
Cs1 0.046 0.750 0.125 x8
In1 0.000 0.000 0.500 x4
O1 0.000 0.000 0.000 x4

Properties
As for the density of states at the Fermi level: 13.6 states/eV/cell. The value obtained for the energy above the lowest structure with this stoichiometry is 0.000 eV/atom. The total energy comes out at -45.12 eV/cell. As for the formation energy (no corrections): -0.47 eV/atom. The magnetic moment is 0.84 μB/f.u.

---

Entry from Alexandria via LeMat-Bulk: a relaxed CsIn3O crystal (PBE-GGA).

Cell: 6.751 6.751 6.751 Å, 90.00 90.00 90.00°
Space group Pm-3m (No. 221)
One atom of each set of equivalent atoms:
Cs1 0.000 0.000 0.000 x1
In1 0.000 0.000 0.500 x3
O1 0.500 0.500 0.500 x1

Properties
As for the density of states at the Fermi level: 7.0 states/eV/cell. The value obtained for the energy above the lowest structure with this stoichiometry is 1.464 eV/atom. The total energy comes out at -7.08 eV/cell. As for the formation energy (no corrections): 1.39 eV/atom. The magnetic moment is 0.00 μB/f.u.

---

Entry from Alexandria via LeMat-Bulk: a relaxed CsIn3O crystal (PBE-GGA).

Cell: 5.348 5.348 5.348 Å, 90.00 90.00 90.00°
Space group Pm-3m (No. 221)
One atom of each set of equivalent atoms:
Cs1 0.000 0.000 0.000 x1
In1 0.000 0.500 0.500 x3
O1 0.500 0.500 0.500 x1

Properties
As for the density of states at the Fermi level: 2.9 states/eV/cell. The value obtained for the energy above the lowest structure with this stoichiometry is 0.000 eV/atom. The total energy comes out at -14.39 eV/cell. As for the formation energy (no corrections): -0.07 eV/atom. The magnetic moment is 0.00 μB/f.u.

---

Entry from Alexandria via LeMat-Bulk: a relaxed Cs3InO3 crystal (PBE-GGA).

Cell: 7.948 12.635 7.575 Å, 90.00 102.56 90.00°
Space group C2/m (No. 12)
One atom of each set of equivalent atoms:
Cs1 0.000 0.206 0.000 x4
Cs2 0.000 0.259 0.500 x4
Cs3 0.136 0.500 0.844 x4
In1 0.168 0.000 0.653 x4
O1 0.105 0.000 0.360 x4
O2 0.208 0.364 0.229 x8

Properties
As for the density of states at the Fermi level: 0.0 states/eV/cell. The value obtained for the energy above the lowest structure with this stoichiometry is 0.009 eV/atom. The total energy comes out at -118.04 eV/cell. As for the formation energy (no corrections): -1.33 eV/atom. The magnetic moment is 0.12 μB/f.u.

---

Entry from Alexandria via LeMat-Bulk: a relaxed Cs5InO4 crystal (PBE-GGA).

Cell: 19.443 3.864 7.960 Å, 90.00 101.69 90.00°
Space group C2/m (No. 12)
One atom of each set of equivalent atoms:
Cs1 0.000 0.000 0.000 x2
Cs2 0.143 0.500 0.802 x4
Cs3 0.144 0.500 0.338 x4
In1 0.000 0.000 0.500 x2
O1 0.001 0.500 0.702 x4
O2 0.114 0.000 0.555 x4

Properties
The total energy comes out at -74.87 eV/cell. As for the formation energy (no corrections): -1.06 eV/atom. The magnetic moment is 0.14 μB/f.u.

---

Entry from Alexandria via LeMat-Bulk: a relaxed Cs2InO crystal (PBE-GGA).

Cell: 8.313 8.313 8.313 Å, 90.00 90.00 90.00°
Space group Fm-3m (No. 225)
One atom of each set of equivalent atoms:
Cs1 0.250 0.250 0.250 x8
In1 0.000 0.000 0.000 x4
O1 0.000 0.000 0.500 x4

Properties
As for the density of states at the Fermi level: 11.3 states/eV/cell. The value obtained for the energy above the lowest structure with this stoichiometry is 0.504 eV/atom. The total energy comes out at -37.06 eV/cell. As for the formation energy (no corrections): 0.03 eV/atom. The magnetic moment is 0.00 μB/f.u.

---

Entry from Alexandria via LeMat-Bulk: a relaxed Cs3InO3 crystal (PBE-GGA).

Cell: 8.285 7.492 12.003 Å, 90.00 95.77 90.00°
Space group P2_1/c (No. 14)
One atom of each set of equivalent atoms:
Cs1 0.050 0.130 0.157 x4
Cs2 0.344 0.162 0.926 x4
Cs3 0.376 0.675 0.807 x4
In1 0.154 0.587 0.068 x4
O1 0.102 0.053 0.411 x4
O2 0.242 0.659 0.542 x4
O3 0.290 0.049 0.696 x4

Properties
As for the density of states at the Fermi level: 0.0 states/eV/cell. The value obtained for the energy above the lowest structure with this stoichiometry is 0.000 eV/atom. The total energy comes out at -118.28 eV/cell. As for the formation energy (no corrections): -1.34 eV/atom. The magnetic moment is 0.14 μB/f.u.

---

Entry from Alexandria via LeMat-Bulk: a relaxed Cs3InO3 crystal (PBE-GGA).

Cell: 7.194 13.036 9.667 Å, 90.00 124.06 90.00°
Space group P2_1/c (No. 14)
One atom of each set of equivalent atoms:
Cs1 0.092 0.072 0.365 x4
Cs2 0.130 0.144 0.003 x4
Cs3 0.333 0.687 0.977 x4
In1 0.451 0.054 0.837 x4
O1 0.152 0.136 0.691 x4
O2 0.341 0.539 0.746 x4
O3 0.386 0.596 0.403 x4

Properties
As for the density of states at the Fermi level: 0.0 states/eV/cell. The value obtained for the energy above the lowest structure with this stoichiometry is 0.024 eV/atom. The total energy comes out at -117.62 eV/cell. As for the formation energy (no corrections): -1.32 eV/atom. The magnetic moment is 0.15 μB/f.u.

---

Entry from Alexandria via LeMat-Bulk: a relaxed Cs6InO4 crystal (PBE-GGA).

Cell: 12.0218 12.0218 6.8213 Å, 90.00 90.00 120.00°
Space group P6_3mc (No. 186)
One atom of each set of equivalent atoms:
Cs1 0.1143 0.5572 0.0000 x6
Cs2 0.1575 0.3151 0.5704 x6
In1 0.3333 0.6667 0.4123 x2
O1 0.2402 0.4803 0.2805 x6
O2 0.3333 0.6667 0.7195 x2

Properties
As for the density of states at the Fermi level: 3.6 states/eV/cell. The total energy comes out at -79.02 eV/cell. As for the formation energy (no corrections): -1.07 eV/atom. The magnetic moment is 0.00 μB/f.u.

---

Entry from Alexandria via LeMat-Bulk: a relaxed CsIn2OsO8 crystal (PBE-GGA).

Cell: 4.866 4.874 8.138 Å, 87.93 88.13 88.64°
Space group P-1 (No. 2)
One atom of each set of equivalent atoms:
Cs1 0.000 0.000 0.000 x1
In1 0.496 0.496 0.307 x2
Os1 0.000 0.000 0.500 x1
O1 0.186 0.183 0.655 x2
O2 0.190 0.190 0.322 x2
O3 0.287 0.711 0.500 x2
O4 0.421 0.419 0.944 x2

Properties
As for the density of states at the Fermi level: 3.0 states/eV/cell. The total energy comes out at -69.96 eV/cell. As for the formation energy (no corrections): -1.06 eV/atom. The magnetic moment is 1.01 μB/f.u.

---

Entry from Alexandria via LeMat-Bulk: a relaxed CsInOsO6 crystal (PBE-GGA).

Cell: 5.5909 5.5909 6.4981 Å, 90.00 90.00 120.00°
Space group P312 (No. 149)
One atom of each set of equivalent atoms:
Cs1 0.0000 0.0000 0.0000 x1
In1 0.3333 0.6667 0.5000 x1
Os1 0.6667 0.3333 0.5000 x1
O1 0.4238 0.0403 0.6707 x6

Properties
The total energy comes out at -55.37 eV/cell. As for the formation energy (no corrections): -1.20 eV/atom. The magnetic moment is 0.00 μB/f.u.

---

Entry from Alexandria via LeMat-Bulk: a relaxed CsInOs2O8 crystal (PBE-GGA).

Cell: 5.5885 5.5885 9.0025 Å, 90.00 90.00 120.00°
Space group P-3 (No. 147)
One atom of each set of equivalent atoms:
Cs1 0.0000 0.0000 0.0000 x1
In1 0.0000 0.0000 0.5000 x1
Os1 0.3333 0.6667 0.7120 x2
O1 0.0547 0.3353 0.6464 x6
O2 0.3333 0.6667 0.9090 x2

Properties
As for the density of states at the Fermi level: 4.4 states/eV/cell. The total energy comes out at -78.75 eV/cell. As for the formation energy (no corrections): -1.09 eV/atom. The magnetic moment is 4.00 μB/f.u.

---

Entry from Alexandria via LeMat-Bulk: a relaxed CsInP2O6 crystal (PBE-GGA).

Cell: 12.134 11.846 6.632 Å, 90.00 110.73 90.00°
Space group C2/c (No. 15)
One atom of each set of equivalent atoms:
Cs1 0.000 0.116 0.250 x4
In1 0.000 0.456 0.750 x4
P1 0.177 0.220 0.830 x8
O1 0.109 0.310 0.673 x8
O2 0.153 0.099 0.768 x8
O3 0.179 0.250 0.077 x8

Properties
As for the density of states at the Fermi level: 0.0 states/eV/cell. The total energy comes out at -254.75 eV/cell. As for the formation energy (no corrections): -1.95 eV/atom. The magnetic moment is 0.00 μB/f.u.

---

Entry from Alexandria via LeMat-Bulk: a relaxed CsInP2O7 crystal (PBE-GGA).

Cell: 7.851 10.562 8.753 Å, 90.00 104.82 90.00°
Space group P2_1/c (No. 14)
One atom of each set of equivalent atoms:
Cs1 0.195 0.195 0.046 x4
In1 0.239 0.602 0.257 x4
P1 0.131 0.594 0.829 x4
P2 0.426 0.628 0.683 x4
O1 0.000 0.001 0.230 x4
O2 0.083 0.729 0.765 x4
O3 0.151 0.582 0.005 x4
O4 0.320 0.600 0.515 x4
O5 0.322 0.557 0.799 x4
O6 0.389 0.071 0.772 x4
O7 0.442 0.731 0.227 x4

Properties
As for the density of states at the Fermi level: 0.0 states/eV/cell. The total energy comes out at -291.88 eV/cell. As for the formation energy (no corrections): -2.17 eV/atom. The magnetic moment is 0.00 μB/f.u.

---

Entry from Alexandria via LeMat-Bulk: a relaxed CsInPO2 crystal (PBE-GGA).

Cell: 4.423 4.423 5.204 Å, 90.00 90.00 90.00°
Space group P4/mmm (No. 123)
One atom of each set of equivalent atoms:
Cs1 0.000 0.000 0.000 x1
In1 0.500 0.500 0.500 x1
P1 0.500 0.500 0.000 x1
O1 0.000 0.500 0.500 x2

Properties
As for the density of states at the Fermi level: 7.7 states/eV/cell. The value obtained for the energy above the lowest structure with this stoichiometry is 0.000 eV/atom. The total energy comes out at -19.57 eV/cell. As for the formation energy (no corrections): -0.13 eV/atom. The magnetic moment is 0.00 μB/f.u.

---

Entry from Alexandria via LeMat-Bulk: a relaxed CsInPO2 crystal (PBE-GGA).

Cell: 4.386 4.386 5.738 Å, 90.00 90.00 90.00°
Space group P4/mmm (No. 123)
One atom of each set of equivalent atoms:
Cs1 0.000 0.000 0.000 x1
In1 0.500 0.500 0.500 x1
P1 0.000 0.000 0.500 x1
O1 0.000 0.500 0.000 x2

Properties
As for the density of states at the Fermi level: 3.9 states/eV/cell. The value obtained for the energy above the lowest structure with this stoichiometry is 0.873 eV/atom. The total energy comes out at -15.20 eV/cell. As for the formation energy (no corrections): 0.74 eV/atom. The magnetic moment is 0.00 μB/f.u.

---

| no. | density (Mg/m³) |
| --- | --- |
| 1 | 5.84 |
| 2 | 3.94 |
| 3 | 3.83 |
| 4 | 3.45 |
| 5 | 2.66 |
| 6 | 5.36 |
| 7 | 5.02 |
| 8 | 4.78 |
| 9 | 4.59 |
| 10 | 5.03 |
| 11 | 4.97 |
| 12 | 3.80 |
| 13 | 5.87 |
| 14 | 5.04 |
| 15 | 5.16 |
| 16 | 3.02 |
| 17 | 3.99 |
| 18 | 5.07 |
| 19 | 4.67 |